DFT (GGA-PBE) results for a relaxed structure of HoSc2PaSe4.

Unit cell a=3.9150 b=6.9483 c=6.8553 alpha=71.27 beta=90.00 gamma=90.00
Fractional coordinates of all 8 atoms:
Ho: 0.5000 0.5000 0.0000
Sc: 0.0000 0.0000 0.0000
Sc: 0.5000 0.0000 0.5000
Pa: 0.0000 0.5000 0.5000
Se: 0.0000 0.7658 0.7468
Se: 0.0000 0.2342 0.2532
Se: 0.5000 0.7685 0.2411
Se: 0.5000 0.2315 0.7589

Values from the calculation:
* formation energy from raw total energies: -145.2 kJ per mole of atoms
* SG: No. 10